# 1
# PBE-GGA SrTbSeS, relaxed
data_SrTbSeS
_symmetry_space_group_name_H-M 'R 3 m'
_symmetry_Int_Tables_number 160
_symmetry_space_group_name_Hall 'R 3 -2"'
_cell_length_a 4.0568
_cell_length_b 4.0568
_cell_length_c 21.9067
_cell_angle_alpha 90.00
_cell_angle_beta 90.00
_cell_angle_gamma 120.00
loop_
_atom_site_label
_atom_site_type_symbol
_atom_site_fract_x
_atom_site_fract_y
_atom_site_fract_z
_atom_site_occupancy
Sr1 Sr 0.0000 0.0000 0.0000 1
Tb1 Tb 0.0000 0.0000 0.1679 1
Se1 Se 0.0000 0.0000 0.5777 1
S1 S 0.0000 0.0000 0.7592 1
# Size of the total moment = 0.0 μB per formula unit
# Crystal system = trigonal
# ΔE_f (raw) = -1.859 eV per atom

# 2
# PBE-GGA NaTeI3, relaxed
data_NaTeI3
_symmetry_space_group_name_H-M 'P m -3 m'
_symmetry_Int_Tables_number 221
_symmetry_space_group_name_Hall '-P 4 2 3'
_cell_length_a 6.170
_cell_length_b 6.170
_cell_length_c 6.170
_cell_angle_alpha 90.00
_cell_angle_beta 90.00
_cell_angle_gamma 90.00
loop_
_atom_site_label
_atom_site_type_symbol
_atom_site_fract_x
_atom_site_fract_y
_atom_site_fract_z
_atom_site_occupancy
Na1 Na 0.000 0.000 0.000 1
Te1 Te 0.500 0.500 0.500 1
I1 I 0.000 0.500 0.500 1
# Size of the total moment = 0.0 μB per formula unit
# Crystal system = cubic
# E above lowest polymorph = 108 meV/atom
# ΔE_f (raw) = -0.375 eV per atom